# 1
This record from the Alexandria database describes an optimized crystal structure of Sm2Ni5Ge3. The functional is PBE.

```
Sm2Ni5Ge3
1.0
2.0378 -11.7179 0.0000
2.0378 11.7179 0.0000
0.0000 0.0000 6.8953
Sm Ni Ge
4 10 6
Direct
0.0520 0.9480 0.5000
0.3385 0.6615 0.6778
0.6615 0.3385 0.1778
0.9480 0.0520 0.0000
0.0706 0.9294 0.0781
0.2068 0.7932 0.5617
0.2322 0.7678 0.9394
0.3530 0.6470 0.1301
0.4384 0.5616 0.3397
0.5616 0.4384 0.8397
0.6470 0.3530 0.6301
0.7678 0.2322 0.4394
0.7932 0.2068 0.0617
0.9294 0.0706 0.5781
0.1351 0.8649 0.8250
0.2578 0.7422 0.2631
0.4710 0.5290 0.6759
0.5290 0.4710 0.1759
0.7422 0.2578 0.7631
0.8649 0.1351 0.3250
```

## Properties
* V: 329.3 Å³ per cell
* calculated total energy: -5.76 eV per atom

# 2
This record from the Alexandria database describes an optimized crystal structure of Sm6Ni2Ge. The functional is PBE.

```
Sm6Ni2Ge
1.0
-4.6421 4.9827 5.0984
4.6421 -4.9827 5.0984
4.6421 4.9827 -5.0984
Sm Ni Ge
12 4 2
Direct
0.0361 0.2307 0.8054
0.1790 0.2869 0.4659
0.1790 0.7131 0.8921
0.3277 0.0202 0.6925
0.3277 0.6351 0.3075
0.4253 0.2307 0.1946
0.5747 0.7693 0.8054
0.6723 0.3649 0.6925
0.6723 0.9798 0.3075
0.8210 0.2869 0.1079
0.8210 0.7131 0.5341
0.9639 0.7693 0.1946
0.1217 0.6217 0.5000
0.3534 0.0000 0.3534
0.6466 0.0000 0.6466
0.8783 0.3783 0.5000
0.0000 0.0000 0.0000
0.5000 0.5000 0.0000
```

## Properties
* V: 471.7 Å³ per cell
* calculated total energy: -5.27 eV per atom

Calculated values (eV/f.u.) of energy relative to the elements for the records, taken in order: -5.40; -2.98.
Calculated values (g cm⁻³) of theoretical density for the records, taken in order: 8.2; 7.7.